A crystal of BiP4O12 relaxed with PBEsol, computed with SCAN.

## Properties
**DOS(E_F)**: 9.1 states/eV/cell
**DFT total energy**: -920.302 eV for the cell shown
**Formation energy from raw total energies**: -2066 meV/atom

a = 7.2055 Å, b = 13.0017 Å, c = 11.8481 Å
α = 90.00°, β = 125.82°, γ = 90.00°
Space group P2_1/c (No. 14)
One atom of each set of equivalent atoms:
Bi: 0.0395 0.2202 0.0228 x4
P: 0.0604 0.0917 0.2948 x4
P: 0.1537 0.6287 0.8011 x4
P: 0.3927 0.6132 0.2683 x4
P: 0.4920 0.6068 0.7421 x4
O: 0.0217 0.1234 0.8542 x4
O: 0.1322 0.1043 0.1987 x4
O: 0.1437 0.5214 0.8641 x4
O: 0.1483 0.1637 0.4140 x4
O: 0.1519 0.7150 0.8834 x4
O: 0.2130 0.5806 0.2998 x4
O: 0.2899 0.6909 0.1529 x4
O: 0.2989 0.1717 0.7062 x4
O: 0.3012 0.6097 0.5887 x4
O: 0.3917 0.1450 0.0964 x4
O: 0.4056 0.6292 0.8369 x4
O: 0.4222 0.5093 0.2093 x4

A crystal of Bi17P5Pb5O43 relaxed with PBEsol, computed with SCAN.

## Properties
**DOS(E_F)**: 0.0 states/eV/cell
**DFT total energy**: -4286.422 eV for the cell shown
**Formation energy from raw total energies**: -1550 meV/atom

a = 15.7611 Å, b = 16.5915 Å, c = 11.2841 Å
α = 90.00°, β = 132.98°, γ = 90.00°
Space group Cm (No. 8)
One atom of each set of equivalent atoms:
Bi: 0.0000 0.0000 0.0000 x2
Bi: 0.0151 0.3477 0.7020 x4
Bi: 0.0191 0.0000 0.7001 x2
Bi: 0.1580 0.5000 0.3238 x2
Bi: 0.1803 0.1760 0.6856 x4
Bi: 0.1852 0.1713 0.3604 x4
Bi: 0.1941 0.5000 0.0184 x2
Bi: 0.3395 0.0000 0.6847 x2
Bi: 0.3565 0.3285 0.0056 x4
Bi: 0.3597 0.3201 0.3618 x4
Bi: 0.4971 0.1468 0.3439 x4
P: 0.0161 0.0000 0.3800 x2
P: 0.0167 0.3474 0.0366 x4
P: 0.3222 0.3413 0.6446 x4
Pb: 0.1626 0.1640 0.0105 x4
Pb: 0.1677 0.5000 0.6647 x2
Pb: 0.3186 0.0000 0.3297 x2
Pb: 0.3268 0.0000 0.0043 x2
O: 0.0083 0.0757 0.4548 x4
O: 0.0138 0.4125 0.5362 x4
O: 0.0156 0.2611 0.0885 x4
O: 0.0161 0.5000 0.7852 x2
O: 0.0189 0.2452 0.5529 x4
O: 0.0194 0.4067 0.1496 x4
O: 0.0503 0.5000 0.3697 x2
O: 0.1100 0.0000 0.9545 x2
O: 0.1190 0.0902 0.1681 x4
O: 0.1264 0.3629 0.0657 x4
O: 0.1349 0.0000 0.4290 x2
O: 0.1517 0.0890 0.7983 x4
O: 0.2020 0.4098 0.8885 x4
O: 0.2220 0.3886 0.4865 x4
O: 0.2298 0.2388 0.8882 x4
O: 0.2738 0.3122 0.7195 x4
O: 0.2818 0.2034 0.3029 x4
O: 0.3320 0.0932 0.5405 x4
O: 0.3327 0.0915 0.1655 x4
O: 0.3524 0.2697 0.5905 x4
O: 0.3938 0.2792 0.2181 x4
O: 0.4045 0.1339 0.8602 x4
O: 0.4161 0.5000 0.1921 x2
O: 0.4270 0.3978 0.7637 x4

A crystal of BiP3Pb3O12 relaxed with PBEsol, computed with SCAN.

## Properties
**DOS(E_F)**: 0.0 states/eV/cell
**DFT total energy**: -1804.742 eV for the cell shown
**Formation energy from raw total energies**: -2068 meV/atom

a = 10.3898 Å, b = 14.6673 Å, c = 8.9843 Å
α = 90.00°, β = 125.25°, γ = 90.00°
Space group Cc (No. 9)
One atom of each set of equivalent atoms:
Bi: 0.0000 0.1702 0.0000 x4
P: 0.1158 0.3101 0.3712 x4
P: 0.4208 0.1299 0.2533 x4
P: 0.4837 0.4381 0.1280 x4
Pb: 0.1716 0.4955 0.6447 x4
Pb: 0.2491 0.0694 0.5046 x4
Pb: 0.2800 0.2474 0.8537 x4
O: 0.0243 0.2829 0.8084 x4
O: 0.0451 0.0377 0.1468 x4
O: 0.1100 0.1282 0.6542 x4
O: 0.1358 0.2103 0.3278 x4
O: 0.1747 0.3207 0.5724 x4
O: 0.2175 0.3733 0.3374 x4
O: 0.2494 0.1569 0.0914 x4
O: 0.3248 0.4231 0.9431 x4
O: 0.4250 0.0953 0.4181 x4
O: 0.4393 0.1644 0.7466 x4
O: 0.4588 0.4276 0.2831 x4
O: 0.4751 0.0543 0.1817 x4

A crystal of BiPPb4O8 relaxed with PBEsol, computed with SCAN.

## Properties
**DOS(E_F)**: 0.0 states/eV/cell
**DFT total energy**: -928.200 eV for the cell shown
**Formation energy from raw total energies**: -1582 meV/atom

a = 6.3141 Å, b = 7.2585 Å, c = 10.7687 Å
α = 80.55°, β = 73.59°, γ = 89.88°
Space group P-1 (No. 2)
One atom of each set of equivalent atoms:
Bi: 0.0760 0.2256 0.0975 x2
P: 0.0574 0.7034 0.1906 x2
Pb: 0.2413 0.1201 0.5225 x2
Pb: 0.2405 0.6220 0.5247 x2
Pb: 0.4708 0.0442 0.8039 x2
Pb: 0.4761 0.5551 0.8025 x2
O: 0.0999 0.8976 0.0985 x2
O: 0.1028 0.5530 0.0993 x2
O: 0.1860 0.3182 0.7215 x2
O: 0.2185 0.6840 0.2767 x2
O: 0.2351 0.8081 0.7623 x2
O: 0.2811 0.1919 0.2298 x2
O: 0.4341 0.3968 0.4163 x2
O: 0.4470 0.8964 0.4133 x2

A crystal of Bi6P4PbO20 relaxed with PBEsol, computed with SCAN.

## Properties
**DOS(E_F)**: 0.0 states/eV/cell
**DFT total energy**: -772.380 eV for the cell shown
**Formation energy from raw total energies**: -1900 meV/atom

a = 6.9730 Å, b = 7.6150 Å, c = 9.1026 Å
α = 106.99°, β = 93.72°, γ = 111.83°
Space group P-1 (No. 2)
One atom of each set of equivalent atoms:
Bi: 0.0596 0.2090 0.4107 x2
Bi: 0.1717 0.8747 0.9970 x2
Bi: 0.3098 0.3032 0.8299 x2
P: 0.1512 0.5971 0.2401 x2
P: 0.4501 0.7292 0.7459 x2
Pb: 0.5000 0.0000 0.5000 x1
O: 0.0229 0.3799 0.8580 x2
O: 0.0546 0.0276 0.8628 x2
O: 0.1240 0.3748 0.1823 x2
O: 0.1461 0.6662 0.4164 x2
O: 0.1797 0.0923 0.5964 x2
O: 0.2830 0.8196 0.7428 x2
O: 0.3520 0.4977 0.6668 x2
O: 0.3669 0.7341 0.2156 x2
O: 0.3731 0.1684 0.3347 x2
O: 0.4578 0.2132 0.0771 x2

A crystal of BiP2PdO relaxed with PBEsol, computed with SCAN.

## Properties
**DOS(E_F)**: 4.7 states/eV/cell
**DFT total energy**: -132.940 eV for the cell shown
**Formation energy from raw total energies**: 1088 meV/atom

a = 5.1731 Å, b = 5.1731 Å, c = 4.0247 Å
α = 90.00°, β = 90.00°, γ = 90.00°
Space group P4/mmm (No. 123)
One atom of each set of equivalent atoms:
Bi: 0.0000 0.0000 0.0000 x1
P: 0.0000 0.5000 0.0000 x2
Pd: 0.5000 0.5000 0.5000 x1
O: 0.0000 0.0000 0.5000 x1

A crystal of ReBiPO2 relaxed with PBEsol, computed with SCAN.

## Properties
**DOS(E_F)**: 1.0 states/eV/cell
**DFT total energy**: -168.254 eV for the cell shown
**Formation energy from raw total energies**: 857 meV/atom

a = 4.0506 Å, b = 4.0506 Å, c = 5.5100 Å
α = 90.00°, β = 90.00°, γ = 90.00°
Space group P4/mmm (No. 123)
One atom of each set of equivalent atoms:
Re: 0.0000 0.0000 0.0000 x1
Bi: 0.5000 0.5000 0.5000 x1
P: 0.5000 0.5000 0.0000 x1
O: 0.0000 0.5000 0.5000 x2

A crystal of SnBiPO2 relaxed with PBEsol, computed with SCAN.

## Properties
**DOS(E_F)**: 1.1 states/eV/cell
**DFT total energy**: -137.818 eV for the cell shown
**Formation energy from raw total energies**: -91 meV/atom

a = 4.2065 Å, b = 4.2065 Å, c = 5.3180 Å
α = 90.00°, β = 90.00°, γ = 90.00°
Space group P4/mmm (No. 123)
One atom of each set of equivalent atoms:
Sn: 0.0000 0.0000 0.0000 x1
Bi: 0.5000 0.5000 0.5000 x1
P: 0.5000 0.5000 0.0000 x1
O: 0.0000 0.5000 0.5000 x2

A crystal of SrBi6P4O20 relaxed with PBEsol, computed with SCAN.

## Properties
**DOS(E_F)**: 0.0 states/eV/cell
**DFT total energy**: -724.007 eV for the cell shown
**Formation energy from raw total energies**: -2066 meV/atom

a = 6.9535 Å, b = 7.6070 Å, c = 9.0984 Å
α = 106.93°, β = 93.82°, γ = 112.00°
Space group P-1 (No. 2)
One atom of each set of equivalent atoms:
Sr: 0.0000 0.0000 0.0000 x1
Bi: 0.1894 0.6982 0.6702 x2
Bi: 0.3298 0.1278 0.5047 x2
Bi: 0.4372 0.7900 0.0876 x2
P: 0.0496 0.2703 0.7551 x2
P: 0.3469 0.3998 0.2587 x2
O: 0.0441 0.7886 0.4221 x2
O: 0.1241 0.8313 0.1619 x2
O: 0.1305 0.2597 0.2815 x2
O: 0.1480 0.5028 0.8329 x2
O: 0.2182 0.1813 0.7581 x2
O: 0.3170 0.9090 0.9042 x2
O: 0.3509 0.3280 0.0825 x2
O: 0.3717 0.6217 0.3157 x2
O: 0.4466 0.9731 0.6377 x2
O: 0.4764 0.6192 0.6418 x2

A crystal of Sr4BiP3O13 relaxed with PBEsol, computed with SCAN.

## Properties
**DOS(E_F)**: 0.0 states/eV/cell
**DFT total energy**: -683.271 eV for the cell shown
**Formation energy from raw total energies**: -2941 meV/atom

a = 9.5977 Å, b = 7.2363 Å, c = 9.7240 Å
α = 90.00°, β = 119.32°, γ = 90.00°
Space group P2_1/m (No. 11)
One atom of each set of equivalent atoms:
Sr: 0.1625 0.0013 0.3252 x4
Sr: 0.2558 0.7500 0.9822 x2
Sr: 0.2750 0.2500 0.7643 x2
Bi: 0.4979 0.7500 0.7589 x2
P: 0.0948 0.2500 0.9635 x2
P: 0.1303 0.7500 0.5948 x2
P: 0.4735 0.7500 0.3635 x2
O: 0.0251 0.7500 0.6739 x2
O: 0.0296 0.7500 0.4134 x2
O: 0.0906 0.7500 0.1161 x2
O: 0.1439 0.0752 0.9052 x4
O: 0.1723 0.2500 0.1462 x2
O: 0.2445 0.5787 0.6483 x4
O: 0.3464 0.2500 0.5148 x2
O: 0.3697 0.7500 0.4450 x2
O: 0.4285 0.5786 0.2525 x4
O: 0.4985 0.2500 0.0286 x2

A crystal of TaBiP2O relaxed with PBEsol, computed with SCAN.

## Properties
**DOS(E_F)**: 2.2 states/eV/cell
**DFT total energy**: -166.115 eV for the cell shown
**Formation energy from raw total energies**: 1215 meV/atom

a = 5.0567 Å, b = 5.0567 Å, c = 4.0189 Å
α = 90.00°, β = 90.00°, γ = 90.00°
Space group P4/mmm (No. 123)
One atom of each set of equivalent atoms:
Ta: 0.0000 0.0000 0.0000 x1
Bi: 0.5000 0.5000 0.5000 x1
P: 0.0000 0.5000 0.5000 x2
O: 0.5000 0.5000 0.0000 x1